Compound: NaAl2Cr2
Source: the Alexandria database
Functional: PBE
Structure: optimized geometry

Geometry as POSCAR:
```
NaAl2Cr2
1.0
-2.471 7.242 1.342
-6.798 -1.697 -3.358
-0.947 -0.749 2.296
Cr Al Na
4 4 2
Cartesian
-7.089 1.359 -2.481
-6.310 5.483 -0.816
-2.179 4.186 0.466
-2.958 0.062 -1.200
-5.598 -0.190 -0.906
-7.701 3.214 -0.664
-4.617 4.987 1.186
-2.515 1.582 0.944
0.000 0.000 0.000
-4.634 2.773 -1.008
```

Results
energy above the lowest structure with this stoichiometry: 0 meV/atom
DFT formation energy: 0.1914 eV per atom
calculated density: 3.84 g cm⁻³
space-group type: P4/mbm, No. 127
VASP energy: -5.4188 eV/atom
V: 156.6 Å³ per cell



Compound: Mn2AsIr
Source: the Alexandria database
Functional: PBE
Structure: optimized geometry

Geometry as POSCAR:
```
Mn2AsIr
1.0
-0.628 3.663 -0.139
-3.664 -0.632 -0.090
-0.117 0.127 3.879
As Ir Mn
1 1 2
Cartesian
-0.373 1.895 1.870
-1.891 -0.253 1.895
0.000 0.000 0.000
-2.146 1.516 -0.114
```

Results
DFT formation energy: -0.0412 eV per atom
calculated density: 11.65 g cm⁻³
space-group type: P4/mmm, No. 123
VASP energy: -8.0037 eV/atom
V: 53.7 Å³ per cell



Repeat the second record exactly.
Compound: Mn2AsIr
Source: the Alexandria database
Functional: PBE
Structure: optimized geometry

Geometry as POSCAR:
```
Mn2AsIr
1.0
-0.628 3.663 -0.139
-3.664 -0.632 -0.090
-0.117 0.127 3.879
As Ir Mn
1 1 2
Cartesian
-0.373 1.895 1.870
-1.891 -0.253 1.895
0.000 0.000 0.000
-2.146 1.516 -0.114
```

Results
DFT formation energy: -0.0412 eV per atom
calculated density: 11.65 g cm⁻³
space-group type: P4/mmm, No. 123
VASP energy: -8.0037 eV/atom
V: 53.7 Å³ per cell



Question: calculated density of number 2 (Mn2AsIr)?
Answer: 11.65 g cm⁻³



Question: Which formula does entry 1 have?
Answer: NaAl2Cr2